Cr3Mo | PBEsol | optimized geometry

Results
D(E_F): 5.29 states/eV/cell
crystal system: orthorhombic
V: 12.234 Å³ per atom
final energy: -10.55 eV/atom

Unit cell a=5.0366 b=5.0366 c=4.0959 alpha=90.00 beta=90.00 gamma=109.63
Fractional coordinates of all 8 atoms:
Cr1 0.1207 0.3683 0.7500
Cr2 0.1208 0.8792 0.7500
Cr3 0.3683 0.1207 0.2500
Cr4 0.6317 0.8793 0.7500
Cr5 0.8792 0.1208 0.2500
Cr6 0.8793 0.6317 0.2500
Mo1 0.3713 0.6287 0.2500
Mo2 0.6287 0.3713 0.7500

=====

Cr2Mo | PBEsol | optimized geometry

Results
D(E_F): 1.86 states/eV/cell
crystal system: trigonal
V: 12.617 Å³ per atom
final energy: -10.66 eV/atom
excess energy over the best structure of this formula in the dataset: 1.36 kJ per mole of atoms

Unit cell a=4.1236 b=4.1236 c=2.5703 alpha=90.00 beta=90.00 gamma=120.00
Fractional coordinates of all 3 atoms:
Cr1 0.3333 0.6667 0.1641
Cr2 0.6667 0.3333 0.8359
Mo1 0.0000 0.0000 0.5000

=====

Cr5Mo3 | PBEsol | optimized geometry

Results
D(E_F): 11.39 states/eV/cell
crystal system: orthorhombic
V: 12.791 Å³ per atom
final energy: -10.71 eV/atom
excess energy over the best structure of this formula in the dataset: 2.24 kJ per mole of atoms

Unit cell a=5.8949 b=5.8921 c=5.8921 alpha=89.93 beta=90.00 gamma=90.00
Fractional coordinates of all 16 atoms:
Cr1 0.0000 0.0000 0.0000
Cr2 0.0000 0.0027 0.5123
Cr3 0.0000 0.5123 0.0027
Cr4 0.2432 0.7568 0.7568
Cr5 0.2439 0.2553 0.7559
Cr6 0.2439 0.7559 0.2553
Cr7 0.5000 0.5088 0.5088
Cr8 0.7561 0.2553 0.7559
Cr9 0.7561 0.7559 0.2553
Cr10 0.7568 0.7568 0.7568
Mo1 0.0000 0.5130 0.5130
Mo2 0.2450 0.2558 0.2558
Mo3 0.5000 0.0008 0.0008
Mo4 0.5000 0.5104 0.9980
Mo5 0.5000 0.9980 0.5104
Mo6 0.7550 0.2558 0.2558

=====

Look up the V of the first one. 12.234 Å³ per atom

=====

Number 2 is which compound? Cr2Mo

=====

Number 3 is which compound? Cr5Mo3

=====

D(E_F) of number 2 (Cr2Mo)? 1.86 states/eV/cell